(1)
A plane-wave DFT calculation with GGA-PBEsol was carried out for a geometry-optimized La2YCu2 structure.

a = 8.042 Å, b = 8.042 Å, c = 3.803 Å
α = 90.00°, β = 90.00°, γ = 90.00°
Space group P4/mbm (No. 127)
Unique sites:
La1 0.168 0.332 0.000 (multiplicity 4)
Y1 0.000 0.000 0.500 (multiplicity 2)
Cu1 0.120 0.620 0.500 (multiplicity 4)

Computed properties:
* formation energy from the elements: -0.077 eV per atom
* total magnetization: 0.00 μB/f.u.
* DFT total energy: -5.314 eV per atom
* calculated density: 6.67 g/cm³

=====

(2)
A plane-wave DFT calculation with GGA-PBEsol was carried out for a geometry-optimized LaYCu2 structure.

a = 3.814 Å, b = 4.448 Å, c = 5.553 Å
α = 90.00°, β = 109.85°, γ = 90.00°
Space group Pm (No. 6)
Unique sites:
La1 0.000 0.000 0.000 (multiplicity 1)
Y1 0.718 0.500 0.434 (multiplicity 1)
Cu1 0.288 0.000 0.574 (multiplicity 1)
Cu2 0.419 0.500 0.839 (multiplicity 1)

Computed properties:
* polymorph energy (0 for the lowest one): 0.000 eV per atom
* formation energy from the elements: -0.162 eV per atom
* total magnetization: 0.00 μB/f.u.
* DFT total energy: -5.371 eV per atom
* calculated density: 6.65 g/cm³

=====

(3)
A plane-wave DFT calculation with GGA-PBEsol was carried out for a geometry-optimized LaY2Cu2 structure.

a = 7.844 Å, b = 7.844 Å, c = 3.763 Å
α = 90.00°, β = 90.00°, γ = 90.00°
Space group P4/mbm (No. 127)
Unique sites:
La1 0.000 0.000 0.000 (multiplicity 2)
Y1 0.163 0.337 0.500 (multiplicity 4)
Cu1 0.118 0.618 0.000 (multiplicity 4)

Computed properties:
* formation energy from the elements: -0.107 eV per atom
* total magnetization: 0.00 μB/f.u.
* DFT total energy: -5.639 eV per atom
* calculated density: 6.37 g/cm³

=====

(4)
A plane-wave DFT calculation with GGA-PBEsol was carried out for a geometry-optimized LaY2Cu structure.

a = 3.485 Å, b = 3.485 Å, c = 8.645 Å
α = 90.00°, β = 90.00°, γ = 90.00°
Space group P4/mmm (No. 123)
Unique sites:
La1 0.000 0.000 0.000 (multiplicity 1)
Y1 0.500 0.500 0.310 (multiplicity 2)
Cu1 0.000 0.000 0.500 (multiplicity 1)

Computed properties:
* polymorph energy (0 for the lowest one): 0.000 eV per atom
* formation energy from the elements: -0.078 eV per atom
* total magnetization: 0.00 μB/f.u.
* DFT total energy: -5.910 eV per atom
* calculated density: 6.01 g/cm³